(1)
VASP calculation (meta-GGA SCAN) on a PBEsol-optimized structure of Re2MoOs.

## Properties
formation energy from the elements: 44.5 kJ/mol of formula units
offset from the most stable computed form: 42 meV per atom
density: 18.62 g cm⁻³

CIF file:
```
data_Re2MoOs
_chemical_formula_sum 'Re2 Mo1 Os1'
_cell_length_a 2.747
_cell_length_b 3.875
_cell_length_c 5.517
_cell_angle_alpha 90.00
_cell_angle_beta 90.00
_cell_angle_gamma 90.00
_symmetry_space_group_name_H-M 'P m m m'
_symmetry_Int_Tables_number 47
loop_
_symmetry_equiv_pos_as_xyz
'x,y,z'
'-x,-y,-z'
'-x,-y,z'
'x,y,-z'
'x,-y,-z'
'-x,y,z'
'-x,y,-z'
'x,-y,z'
loop_
_atom_site_label
_atom_site_type_symbol
_atom_site_fract_x
_atom_site_fract_y
_atom_site_fract_z
Re1 Re 0.000 0.000 0.243
Mo1 Mo 0.500 0.500 0.500
Os1 Os 0.500 0.500 0.000
```

(2)
VASP calculation (meta-GGA SCAN) on a PBEsol-optimized structure of ReMoOs3.

## Properties
formation energy from the elements: 1165.2 kJ/mol of formula units
offset from the most stable computed form: 0 meV per atom
density: 14.41 g cm⁻³

CIF file:
```
data_ReMoOs3
_chemical_formula_sum 'Re1 Mo1 Os3'
_cell_length_a 4.614
_cell_length_b 4.614
_cell_length_c 4.614
_cell_angle_alpha 90.00
_cell_angle_beta 90.00
_cell_angle_gamma 90.00
_symmetry_space_group_name_H-M 'P m -3 m'
_symmetry_Int_Tables_number 221
_symmetry_space_group_name_Hall '-P 4 2 3'
loop_
_atom_site_label
_atom_site_type_symbol
_atom_site_fract_x
_atom_site_fract_y
_atom_site_fract_z
Re1 Re 0.000 0.000 0.000
Mo1 Mo 0.500 0.500 0.500
Os1 Os 0.000 0.000 0.500
```

(3)
VASP calculation (meta-GGA SCAN) on a PBEsol-optimized structure of Mo2OsRu.

## Properties
formation energy from the elements: 22.4 kJ/mol of formula units
offset from the most stable computed form: 0 meV per atom
density: 13.87 g cm⁻³

CIF file:
```
data_Mo2OsRu
_chemical_formula_sum 'Mo4 Os2 Ru2'
_cell_length_a 5.501
_cell_length_b 7.667
_cell_length_c 2.744
_cell_angle_alpha 90.00
_cell_angle_beta 90.00
_cell_angle_gamma 90.00
_symmetry_space_group_name_H-M 'C m m m'
_symmetry_Int_Tables_number 65
_symmetry_space_group_name_Hall '-C 2 2'
loop_
_atom_site_label
_atom_site_type_symbol
_atom_site_fract_x
_atom_site_fract_y
_atom_site_fract_z
Mo1 Mo 0.250 0.250 0.000
Os1 Os 0.000 0.000 0.500
Ru1 Ru 0.000 0.500 0.500
```

(4)
VASP calculation (meta-GGA SCAN) on a PBEsol-optimized structure of MoOs2Ru.

## Properties
formation energy from the elements: 62.4 kJ/mol of formula units
offset from the most stable computed form: 161 meV per atom
density: 16.94 g cm⁻³

CIF file:
```
data_MoOs2Ru
_chemical_formula_sum 'Mo3 Os6 Ru3'
_cell_length_a 2.7077
_cell_length_b 2.7077
_cell_length_c 26.7503
_cell_angle_alpha 90.00
_cell_angle_beta 90.00
_cell_angle_gamma 120.00
_symmetry_space_group_name_H-M 'R -3 m'
_symmetry_Int_Tables_number 166
_symmetry_space_group_name_Hall '-R 3 2"'
loop_
_atom_site_label
_atom_site_type_symbol
_atom_site_fract_x
_atom_site_fract_y
_atom_site_fract_z
Mo1 Mo 0.0000 0.0000 0.0000
Os1 Os 0.0000 0.0000 0.2482
Ru1 Ru 0.0000 0.0000 0.5000
```

(5)
VASP calculation (meta-GGA SCAN) on a PBEsol-optimized structure of Mo2OsRu.

## Properties
formation energy from the elements: 22.5 kJ/mol of formula units
offset from the most stable computed form: 0 meV per atom
density: 13.88 g cm⁻³

CIF file:
```
data_Mo2OsRu
_chemical_formula_sum 'Mo4 Os2 Ru2'
_cell_length_a 3.889
_cell_length_b 3.889
_cell_length_c 7.644
_cell_angle_alpha 90.00
_cell_angle_beta 90.00
_cell_angle_gamma 90.00
_symmetry_space_group_name_H-M 'I 4/m m m'
_symmetry_Int_Tables_number 139
_symmetry_space_group_name_Hall '-I 4 2'
loop_
_atom_site_label
_atom_site_type_symbol
_atom_site_fract_x
_atom_site_fract_y
_atom_site_fract_z
Mo1 Mo 0.000 0.500 0.250
Os1 Os 0.000 0.000 0.000
Ru1 Ru 0.000 0.000 0.500
```

(6)
VASP calculation (meta-GGA SCAN) on a PBEsol-optimized structure of MoOs3Ru.

## Properties
formation energy from the elements: 1254.7 kJ/mol of formula units
density: 13.58 g cm⁻³

CIF file:
```
data_MoOs3Ru
_chemical_formula_sum 'Mo1 Os3 Ru1'
_cell_length_a 4.545
_cell_length_b 4.545
_cell_length_c 4.545
_cell_angle_alpha 90.00
_cell_angle_beta 90.00
_cell_angle_gamma 90.00
_symmetry_space_group_name_H-M 'P m -3 m'
_symmetry_Int_Tables_number 221
_symmetry_space_group_name_Hall '-P 4 2 3'
loop_
_atom_site_label
_atom_site_type_symbol
_atom_site_fract_x
_atom_site_fract_y
_atom_site_fract_z
Mo1 Mo 0.000 0.000 0.000
Os1 Os 0.000 0.000 0.500
Ru1 Ru 0.500 0.500 0.500
```

(7)
VASP calculation (meta-GGA SCAN) on a PBEsol-optimized structure of MoOsRu2.

## Properties
formation energy from the elements: 0.7 kJ/mol of formula units
offset from the most stable computed form: 0 meV per atom
density: 14.54 g cm⁻³

CIF file:
```
data_MoOsRu2
_chemical_formula_sum 'Mo1 Os1 Ru2'
_cell_length_a 3.823
_cell_length_b 3.823
_cell_length_c 3.817
_cell_angle_alpha 90.00
_cell_angle_beta 90.00
_cell_angle_gamma 90.00
_symmetry_space_group_name_H-M 'P 4/m m m'
_symmetry_Int_Tables_number 123
_symmetry_space_group_name_Hall '-P 4 2'
loop_
_atom_site_label
_atom_site_type_symbol
_atom_site_fract_x
_atom_site_fract_y
_atom_site_fract_z
Mo1 Mo 0.000 0.000 0.000
Os1 Os 0.500 0.500 0.000
Ru1 Ru 0.000 0.500 0.500
```

(8)
VASP calculation (meta-GGA SCAN) on a PBEsol-optimized structure of Mo2OsRu.

## Properties
formation energy from the elements: 41.9 kJ/mol of formula units
offset from the most stable computed form: 51 meV per atom
density: 13.84 g cm⁻³

CIF file:
```
data_Mo2OsRu
_chemical_formula_sum 'Mo4 Os2 Ru2'
_cell_length_a 3.832
_cell_length_b 3.832
_cell_length_c 7.892
_cell_angle_alpha 90.00
_cell_angle_beta 90.00
_cell_angle_gamma 90.00
_symmetry_space_group_name_H-M 'I -4 m 2'
_symmetry_Int_Tables_number 119
_symmetry_space_group_name_Hall 'I -4 -2'
loop_
_atom_site_label
_atom_site_type_symbol
_atom_site_fract_x
_atom_site_fract_y
_atom_site_fract_z
Mo1 Mo 0.000 0.000 0.000
Mo2 Mo 0.000 0.500 0.250
Os1 Os 0.000 0.000 0.500
Ru1 Ru 0.000 0.500 0.750
```

(9)
VASP calculation (meta-GGA SCAN) on a PBEsol-optimized structure of MoOsRu2.

## Properties
formation energy from the elements: 32.2 kJ/mol of formula units
offset from the most stable computed form: 81 meV per atom
density: 14.49 g cm⁻³

CIF file:
```
data_MoOsRu2
_chemical_formula_sum 'Mo1 Os1 Ru2'
_cell_length_a 2.706
_cell_length_b 4.677
_cell_length_c 4.690
_cell_angle_alpha 99.67
_cell_angle_beta 90.04
_cell_angle_gamma 106.72
_symmetry_space_group_name_H-M 'P 1'
_symmetry_Int_Tables_number 1
loop_
_symmetry_equiv_pos_as_xyz
'x,y,z'
loop_
_atom_site_label
_atom_site_type_symbol
_atom_site_fract_x
_atom_site_fract_y
_atom_site_fract_z
Mo1 Mo 0.000 0.000 0.000
Os1 Os 0.247 0.494 0.731
Ru1 Ru 0.501 0.002 0.501
Ru2 Ru 0.751 0.503 0.248
```

(10)
VASP calculation (meta-GGA SCAN) on a PBEsol-optimized structure of MoOsRu2.

## Properties
formation energy from the elements: 13.5 kJ/mol of formula units
offset from the most stable computed form: 33 meV per atom
density: 14.52 g cm⁻³

CIF file:
```
data_MoOsRu2
_chemical_formula_sum 'Mo2 Os2 Ru4'
_cell_length_a 3.814
_cell_length_b 3.814
_cell_length_c 7.676
_cell_angle_alpha 90.00
_cell_angle_beta 90.00
_cell_angle_gamma 90.00
_symmetry_space_group_name_H-M 'I -4 m 2'
_symmetry_Int_Tables_number 119
_symmetry_space_group_name_Hall 'I -4 -2'
loop_
_atom_site_label
_atom_site_type_symbol
_atom_site_fract_x
_atom_site_fract_y
_atom_site_fract_z
Mo1 Mo 0.000 0.000 0.000
Os1 Os 0.000 0.500 0.250
Ru1 Ru 0.000 0.000 0.500
Ru2 Ru 0.000 0.500 0.750
```

(11)
VASP calculation (meta-GGA SCAN) on a PBEsol-optimized structure of Mo2OsRu.

## Properties
formation energy from the elements: 109.5 kJ/mol of formula units
offset from the most stable computed form: 226 meV per atom
density: 13.67 g cm⁻³

CIF file:
```
data_Mo2OsRu
_chemical_formula_sum 'Mo2 Os1 Ru1'
_cell_length_a 4.568
_cell_length_b 4.568
_cell_length_c 2.813
_cell_angle_alpha 90.00
_cell_angle_beta 90.00
_cell_angle_gamma 90.00
_symmetry_space_group_name_H-M 'P 4/m m m'
_symmetry_Int_Tables_number 123
_symmetry_space_group_name_Hall '-P 4 2'
loop_
_atom_site_label
_atom_site_type_symbol
_atom_site_fract_x
_atom_site_fract_y
_atom_site_fract_z
Mo1 Mo 0.000 0.500 0.000
Os1 Os 0.000 0.000 0.500
Ru1 Ru 0.500 0.500 0.500
```

(12)
VASP calculation (meta-GGA SCAN) on a PBEsol-optimized structure of MoOs2Ru.

## Properties
formation energy from the elements: 0.3 kJ/mol of formula units
offset from the most stable computed form: 0 meV per atom
density: 17.00 g cm⁻³

CIF file:
```
data_MoOs2Ru
_chemical_formula_sum 'Mo1 Os2 Ru1'
_cell_length_a 3.834
_cell_length_b 3.834
_cell_length_c 3.838
_cell_angle_alpha 90.00
_cell_angle_beta 90.00
_cell_angle_gamma 90.00
_symmetry_space_group_name_H-M 'P 4/m m m'
_symmetry_Int_Tables_number 123
_symmetry_space_group_name_Hall '-P 4 2'
loop_
_atom_site_label
_atom_site_type_symbol
_atom_site_fract_x
_atom_site_fract_y
_atom_site_fract_z
Mo1 Mo 0.000 0.000 0.000
Os1 Os 0.000 0.500 0.500
Ru1 Ru 0.500 0.500 0.000
```